# 1
VASP calculation (PBE) on a relaxed structure of Tm2AsSe.

```
Tm2AsSe
1.0
1.986 1.147 6.972
-1.986 1.147 6.972
0.000 -2.294 6.972
Tm As Se
2 1 1
Direct
0.000 0.000 0.000 Tm
0.181 0.181 0.181 Tm
0.592 0.592 0.592 As
0.422 0.422 0.422 Se
```

Formation energy from raw total energies   -1579 meV per atom
Energy above the most stable polymorph in this dataset   74 meV/atom
Magnetic moment   0.000 μB/cell
Density   8.57 g/cm3

# 2
VASP calculation (PBE) on a relaxed structure of Tm5AsSe4.

```
Tm5AsSe4
1.0
-2.019 2.837 10.064
2.019 -2.837 10.064
2.019 2.837 -10.064
Tm As Se
5 1 4
Direct
0.000 0.000 0.000 Tm
0.201 0.201 0.000 Tm
0.403 0.403 0.000 Tm
0.597 0.597 0.000 Tm
0.799 0.799 0.000 Tm
0.500 0.000 0.500 As
0.101 0.601 0.500 Se
0.301 0.801 0.500 Se
0.699 0.199 0.500 Se
0.899 0.399 0.500 Se
```

Formation energy from raw total energies   -1660 meV per atom
Energy above the most stable polymorph in this dataset   0 meV/atom
Magnetic moment   0.000 μB/cell
Density   8.90 g/cm3

# 3
VASP calculation (PBE) on a relaxed structure of TmAsSe.

```
TmAsSe
1.0
17.335 0.000 0.000
0.000 3.876 0.000
0.000 0.000 3.911
Tm As Se
4 4 4
Direct
0.140 0.250 0.236 Tm
0.360 0.750 0.736 Tm
0.640 0.250 0.264 Tm
0.860 0.750 0.764 Tm
0.002 0.250 0.715 As
0.498 0.750 0.215 As
0.502 0.250 0.785 As
0.998 0.750 0.285 As
0.188 0.750 0.738 Se
0.312 0.250 0.238 Se
0.688 0.750 0.762 Se
0.812 0.250 0.262 Se
```

Formation energy from raw total energies   -1404 meV per atom
Magnetic moment   0.000 μB/cell
Density   8.16 g/cm3

# 4
VASP calculation (PBE) on a relaxed structure of Tm2AsSe.

```
Tm2AsSe
1.0
4.043 0.000 0.000
0.000 5.707 0.000
0.000 0.000 8.108
Tm As Se
4 2 2
Direct
0.250 0.250 0.116 Tm
0.250 0.250 0.637 Tm
0.750 0.750 0.363 Tm
0.750 0.750 0.884 Tm
0.250 0.750 0.126 As
0.750 0.250 0.874 As
0.250 0.750 0.622 Se
0.750 0.250 0.378 Se
```

Formation energy from raw total energies   -1653 meV per atom
Energy above the most stable polymorph in this dataset   0 meV/atom
Magnetic moment   0.000 μB/cell
Density   8.73 g/cm3

# 5
VASP calculation (PBE) on a relaxed structure of YTmAsSe.

```
YTmAsSe
1.0
2.000 1.155 7.042
-2.000 1.155 7.042
0.000 -2.310 7.042
Y Tm As Se
1 1 1 1
Direct
0.000 0.000 0.000 Y
0.181 0.181 0.181 Tm
0.590 0.590 0.590 As
0.424 0.424 0.424 Se
```

Formation energy from raw total energies   -1608 meV per atom
Magnetic moment   0.000 μB/cell
Density   7.00 g/cm3

# 6
VASP calculation (PBE) on a relaxed structure of U2AsSe.

```
U2AsSe
1.0
-2.881 2.881 5.766
2.881 -2.881 5.766
2.881 2.881 -5.766
U As Se
4 2 2
Direct
0.124 0.374 0.750 U
0.374 0.124 0.250 U
0.626 0.876 0.750 U
0.876 0.626 0.250 U
0.125 0.875 0.250 As
0.875 0.125 0.750 As
0.375 0.625 0.750 Se
0.625 0.375 0.250 Se
```

Formation energy from raw total energies   -869 meV per atom
Energy above the most stable polymorph in this dataset   3 meV/atom
Magnetic moment   10.323 μB/cell
Density   10.93 g/cm3

# 7
VASP calculation (PBE) on a relaxed structure of UAs2Se6.

```
UAs2Se6
1.0
3.459 1.997 7.029
-3.459 1.997 7.029
0.000 -3.994 7.029
U As Se
1 2 6
Direct
0.000 0.000 0.000 U
0.289 0.289 0.289 As
0.411 0.411 0.411 As
0.041 0.405 0.772 Se
0.187 0.957 0.595 Se
0.405 0.772 0.041 Se
0.595 0.187 0.957 Se
0.772 0.041 0.405 Se
0.957 0.595 0.187 Se
```

Formation energy from raw total energies   -326 meV per atom
Magnetic moment   0.000 μB/cell
Density   4.91 g/cm3

# 8
VASP calculation (PBE) on a relaxed structure of U5AsSe4.

```
U5AsSe4
1.0
-2.031 2.031 14.360
2.031 -2.031 14.360
2.031 2.031 -14.360
U As Se
5 1 4
Direct
0.000 0.000 0.000 U
0.200 0.200 0.000 U
0.400 0.400 0.000 U
0.600 0.600 0.000 U
0.800 0.800 0.000 U
0.500 0.500 0.000 As
0.100 0.100 0.000 Se
0.300 0.300 0.000 Se
0.700 0.700 0.000 Se
0.900 0.900 0.000 Se
```

Formation energy from raw total energies   -935 meV per atom
Magnetic moment   7.867 μB/cell
Density   11.08 g/cm3

# 9
VASP calculation (PBE) on a relaxed structure of UAsSe.

```
UAsSe
1.0
3.974 0.000 0.000
0.000 3.974 0.000
0.000 0.000 8.411
U As Se
2 2 2
Direct
0.250 0.250 0.226 U
0.750 0.750 0.774 U
0.250 0.750 0.500 As
0.750 0.250 0.500 As
0.250 0.250 0.865 Se
0.750 0.750 0.135 Se
```

Formation energy from raw total energies   -966 meV per atom
Magnetic moment   4.968 μB/cell
Density   9.80 g/cm3

# 10
VASP calculation (PBE) on a relaxed structure of U6AsSe12.

```
U6AsSe12
1.0
6.276 3.623 3.813
-6.276 3.623 3.813
0.000 -7.247 3.813
U As Se
6 1 12
Direct
0.128 0.632 0.804 U
0.196 0.872 0.368 U
0.368 0.196 0.872 U
0.632 0.804 0.128 U
0.804 0.128 0.632 U
0.872 0.368 0.196 U
0.500 0.500 0.500 As
0.073 0.323 0.927 Se
0.073 0.927 0.677 Se
0.181 0.539 0.443 Se
0.323 0.927 0.073 Se
0.443 0.181 0.539 Se
0.461 0.557 0.819 Se
0.539 0.443 0.181 Se
0.557 0.819 0.461 Se
0.677 0.073 0.927 Se
0.819 0.461 0.557 Se
0.927 0.073 0.323 Se
0.927 0.677 0.073 Se
```

Formation energy from raw total energies   -965 meV per atom
Magnetic moment   15.000 μB/cell
Density   7.82 g/cm3

# 11
VASP calculation (PBE) on a relaxed structure of U2AsSe.

```
U2AsSe
1.0
2.084 1.203 6.354
-2.084 1.203 6.354
0.000 -2.406 6.354
U As Se
2 1 1
Direct
0.249 0.249 0.249 U
0.751 0.751 0.751 U
0.500 0.500 0.500 As
0.000 0.000 0.000 Se
```

Formation energy from raw total energies   -872 meV per atom
Energy above the most stable polymorph in this dataset   0 meV/atom
Magnetic moment   5.152 μB/cell
Density   10.95 g/cm3

# 12
VASP calculation (PBE) on a relaxed structure of U2AsSe.

```
U2AsSe
1.0
4.196 0.000 0.000
0.000 5.769 0.000
0.000 0.000 7.921
U As Se
4 2 2
Direct
0.250 0.250 0.123 U
0.250 0.250 0.626 U
0.750 0.750 0.374 U
0.750 0.750 0.877 U
0.250 0.750 0.126 As
0.750 0.250 0.874 As
0.250 0.750 0.625 Se
0.750 0.250 0.375 Se
```

Formation energy from raw total energies   -867 meV per atom
Energy above the most stable polymorph in this dataset   5 meV/atom
Magnetic moment   10.540 μB/cell
Density   10.91 g/cm3

# 13
VASP calculation (PBE) on a relaxed structure of U3AsSe2.

```
U3AsSe2
1.0
-2.098 2.879 5.918
2.098 -2.879 5.918
2.098 2.879 -5.918
U As Se
3 1 2
Direct
0.000 0.000 0.000 U
0.334 0.334 0.000 U
0.666 0.666 0.000 U
0.500 0.000 0.500 As
0.167 0.667 0.500 Se
0.833 0.333 0.500 Se
```

Formation energy from raw total energies   -914 meV per atom
Magnetic moment   7.842 μB/cell
Density   11.00 g/cm3

# 14
VASP calculation (PBE) on a relaxed structure of UAsSe.

```
UAsSe
1.0
0.000 3.341 3.341
3.341 0.000 3.341
3.341 3.341 0.000
U As Se
1 1 1
Direct
0.000 0.000 0.000 U
0.750 0.750 0.750 As
0.250 0.250 0.250 Se
```

Formation energy from raw total energies   -663 meV per atom
Magnetic moment   0.993 μB/cell
Density   8.72 g/cm3

# 15
VASP calculation (PBE) on a relaxed structure of UAsSe2.

```
UAsSe2
1.0
1.819 1.050 8.924
-1.819 1.050 8.924
0.000 -2.100 8.924
U As Se
1 1 2
Direct
0.000 0.000 0.000 U
0.500 0.500 0.500 As
0.105 0.105 0.105 Se
0.895 0.895 0.895 Se
```

Formation energy from raw total energies   169 meV per atom
Magnetic moment   3.277 μB/cell
Density   7.64 g/cm3

# 16
VASP calculation (PBE) on a relaxed structure of U3AsSe8.

```
U3AsSe8
1.0
8.309 0.000 0.000
-4.154 7.196 0.000
0.000 0.000 12.811
U As Se
6 2 16
Direct
0.165 0.329 0.000 U
0.165 0.835 0.000 U
0.329 0.165 0.500 U
0.671 0.835 0.000 U
0.835 0.165 0.500 U
0.835 0.671 0.500 U
0.333 0.667 0.227 As
0.667 0.333 0.727 As
0.000 0.000 0.120 Se
0.000 0.000 0.620 Se
0.028 0.514 0.133 Se
0.167 0.334 0.396 Se
0.167 0.833 0.396 Se
0.333 0.667 0.885 Se
0.334 0.167 0.896 Se
0.486 0.514 0.133 Se
0.486 0.972 0.133 Se
0.514 0.028 0.633 Se
0.514 0.486 0.633 Se
0.666 0.833 0.396 Se
0.667 0.333 0.385 Se
0.833 0.167 0.896 Se
0.833 0.666 0.896 Se
0.972 0.486 0.633 Se
```

Formation energy from raw total energies   -861 meV per atom
Magnetic moment   10.000 μB/cell
Density   6.16 g/cm3

# 17
VASP calculation (PBE) on a relaxed structure of U2AsSe.

```
U2AsSe
1.0
1.932 1.116 7.483
-1.932 1.116 7.483
0.000 -2.231 7.483
U As Se
2 1 1
Direct
0.000 0.000 0.000 U
0.174 0.174 0.174 U
0.587 0.587 0.587 As
0.755 0.755 0.755 Se
```

Formation energy from raw total energies   -781 meV per atom
Energy above the most stable polymorph in this dataset   91 meV/atom
Magnetic moment   5.556 μB/cell
Density   10.81 g/cm3

# 18
VASP calculation (PBE) on a relaxed structure of U6As5Se.

```
U6As5Se
1.0
3.669 -5.997 0.000
3.669 5.997 0.000
-2.177 0.000 6.578
U As Se
6 5 1
Direct
0.082 0.416 0.749 U
0.248 0.248 0.250 U
0.416 0.082 0.749 U
0.584 0.918 0.251 U
0.752 0.752 0.750 U
0.918 0.584 0.251 U
0.000 0.000 0.500 As
0.167 0.833 0.000 As
0.334 0.666 0.500 As
0.666 0.334 0.500 As
0.833 0.167 0.000 As
0.500 0.500 0.000 Se
```

Formation energy from raw total energies   -773 meV per atom
Magnetic moment   15.357 μB/cell
Density   10.79 g/cm3

# 19
VASP calculation (PBE) on a relaxed structure of U2AsSe.

```
U2AsSe
1.0
0.000 3.521 3.521
3.521 0.000 3.521
3.521 3.521 0.000
U As Se
2 1 1
Direct
0.250 0.250 0.250 U
0.750 0.750 0.750 U
0.000 0.000 0.000 As
0.500 0.500 0.500 Se
```

Formation energy from raw total energies   -722 meV per atom
Energy above the most stable polymorph in this dataset   150 meV/atom
Magnetic moment   6.340 μB/cell
Density   11.98 g/cm3

# 20
VASP calculation (PBE) on a relaxed structure of U3AsSe3.

```
U3AsSe3
1.0
5.716 0.000 0.000
0.000 5.716 0.000
0.000 0.000 5.716
U As Se
3 1 3
Direct
0.000 0.000 0.500 U
0.000 0.500 0.000 U
0.500 0.000 0.000 U
0.000 0.000 0.000 As
0.000 0.500 0.500 Se
0.500 0.000 0.500 Se
0.500 0.500 0.000 Se
```

Formation energy from raw total energies   -963 meV per atom
Energy above the most stable polymorph in this dataset   0 meV/atom
Magnetic moment   7.565 μB/cell
Density   9.12 g/cm3

# 21
VASP calculation (PBE) on a relaxed structure of UAsSe.

```
UAsSe
1.0
4.622 0.000 0.000
-2.311 4.003 0.000
0.000 0.000 3.441
U As Se
1 1 1
Direct
0.000 0.000 0.000 U
0.667 0.333 0.500 As
0.333 0.667 0.500 Se
```

Formation energy from raw total energies   -351 meV per atom
Magnetic moment   2.338 μB/cell
Density   10.22 g/cm3

# 22
VASP calculation (PBE) on a relaxed structure of U5As3Se2.

```
U5As3Se2
1.0
-5.569 5.569 3.521
5.569 -5.569 3.521
5.569 5.569 -3.521
U As Se
10 6 4
Direct
0.050 0.148 0.703 U
0.148 0.446 0.099 U
0.250 0.750 0.500 U
0.347 0.050 0.901 U
0.446 0.347 0.297 U
0.554 0.653 0.703 U
0.653 0.950 0.099 U
0.750 0.250 0.500 U
0.852 0.554 0.901 U
0.950 0.852 0.297 U
0.000 0.000 0.000 As
0.100 0.301 0.402 As
0.301 0.900 0.201 As
0.500 0.500 0.000 As
0.699 0.100 0.799 As
0.900 0.699 0.598 As
0.200 0.600 0.800 Se
0.400 0.200 0.600 Se
0.600 0.800 0.400 Se
0.800 0.400 0.200 Se
```

Formation energy from raw total energies   -696 meV per atom
Magnetic moment   31.538 μB/cell
Density   11.96 g/cm3

# 23
VASP calculation (PBE) on a relaxed structure of UAsSe.

```
UAsSe
1.0
-1.855 1.855 4.580
1.855 -1.855 4.580
1.855 1.855 -4.580
U As Se
1 1 1
Direct
0.000 0.000 0.000 U
0.651 0.651 0.000 As
0.345 0.345 0.000 Se
```

Formation energy from raw total energies   -700 meV per atom
Magnetic moment   1.343 μB/cell
Density   10.33 g/cm3

# 24
VASP calculation (PBE) on a relaxed structure of U3AsSe3.

```
U3AsSe3
1.0
4.473 2.582 2.462
-4.473 2.582 2.462
0.000 -5.165 2.462
U As Se
3 1 3
Direct
0.000 0.500 0.500 U
0.500 0.000 0.500 U
0.500 0.500 0.000 U
0.503 0.503 0.503 As
0.060 0.060 0.659 Se
0.060 0.659 0.060 Se
0.659 0.060 0.060 Se
```

Formation energy from raw total energies   -909 meV per atom
Energy above the most stable polymorph in this dataset   54 meV/atom
Magnetic moment   8.326 μB/cell
Density   9.98 g/cm3